Compound: LaAgMo2O8
Source: the Alexandria database
Functional: GGA+U
Structure: optimized geometry

Structure (extended XYZ):
```
12
Lattice="-3.630 5.414 -2.631 -0.303 0.045 -7.023 -1.255 -4.828 4.952" Properties=species:S:1:pos:R:3 pbc="T T T"
O -2.360 -0.703 -1.773
O -2.844 -1.647 2.564
O -0.789 -1.496 0.641
O -1.553 1.350 -6.941
O -4.275 0.169 0.671
O -4.109 3.113 -6.074
O -3.759 1.240 -3.773
O -1.062 0.499 -4.120
Mo -1.762 -1.027 -3.448
Mo 0.000 0.000 0.000
La -1.966 2.730 -4.827
Ag -3.425 1.658 -1.253
```

Results
As for the symmetry: No. 82. Its volume is 174.1 Å³ per cell. For the density of states at the Fermi level, the calculation gives 0.00 states/eV per cell. As for the spin magnetization: 0.0 μB per formula unit. The energy relative to the lowest polymorph listed for this composition is 0.0 kJ/mol of formula units.